# PBE with a Hubbard U ZnCoF4, relaxed
# **Energy above the most stable polymorph in this dataset**: 0.00 kcal/mol of atoms
# **Crystal system**: monoclinic
data_ZnCoF4
_chemical_formula_sum 'Zn2 Co2 F8'
_cell_length_a 5.757
_cell_length_b 4.764
_cell_length_c 5.751
_cell_angle_alpha 90.00
_cell_angle_beta 112.42
_cell_angle_gamma 90.00
_symmetry_space_group_name_H-M 'P 1'
_symmetry_Int_Tables_number 1
_symmetry_space_group_name_Hall 'P 1'
loop_
_atom_site_label
_atom_site_fract_x
_atom_site_fract_y
_atom_site_fract_z
_atom_site_occupancy
Zn1 0.000 0.000 0.000 1
Zn2 0.000 0.500 0.500 1
Co1 0.500 0.000 0.500 1
Co2 0.500 0.500 0.000 1
F1 0.153 0.196 0.346 1
F2 0.153 0.304 0.846 1
F3 0.347 0.698 0.651 1
F4 0.347 0.802 0.151 1
F5 0.653 0.198 0.849 1
F6 0.653 0.302 0.349 1
F7 0.847 0.696 0.154 1
F8 0.847 0.804 0.654 1